(1)
# MoO4

A relaxed structure of MoO4 (PBE+U, Alexandria via LeMat-Bulk).

a b c (Å): 3.874 3.874 3.874
angles (deg): 90.00 90.00 90.00
Positions (direct):
1 Mo 0.000 0.000 0.000
2 O 0.000 0.000 0.500
3 O 0.000 0.500 0.000
4 O 0.500 0.000 0.000
5 O 0.500 0.500 0.500

Summary:
**E above lowest polymorph**: 58.60 kJ per mole of atoms
**Fermi-level density of states**: 3.1 states/eV/cell
**Space-group type**: No. 221

(2)
# MoO2

A relaxed structure of MoO2 (PBE+U, Alexandria via LeMat-Bulk).

a b c (Å): 5.280 5.280 5.281
angles (deg): 103.52 103.52 35.10
Positions (direct):
1 Mo 0.113 0.113 0.346
2 Mo 0.887 0.887 0.654
3 O 0.000 0.000 0.000
4 O 0.266 0.266 0.702
5 O 0.500 0.500 0.500
6 O 0.734 0.734 0.298

Summary:
**Fermi-level density of states**: 0.2 states/eV/cell
**Space-group type**: No. 12

(3)
# Mo4O11

A relaxed structure of Mo4O11 (PBE+U, Alexandria via LeMat-Bulk).

a b c (Å): 25.127 5.621 6.951
angles (deg): 90.00 90.00 90.00
Positions (direct):
1 Mo 0.030 0.250 0.154
2 Mo 0.086 0.750 0.479
3 Mo 0.148 0.250 0.800
4 Mo 0.204 0.750 0.131
5 Mo 0.296 0.250 0.631
6 Mo 0.352 0.750 0.300
7 Mo 0.414 0.250 0.979
8 Mo 0.470 0.750 0.654
9 Mo 0.530 0.250 0.346
10 Mo 0.586 0.750 0.021
11 Mo 0.648 0.250 0.700
12 Mo 0.704 0.750 0.369
13 Mo 0.796 0.250 0.869
14 Mo 0.852 0.750 0.200
15 Mo 0.914 0.250 0.521
16 Mo 0.970 0.750 0.846
17 O 0.000 0.000 0.000
18 O 0.000 0.500 0.000
19 O 0.034 0.750 0.657
20 O 0.065 0.506 0.328
21 O 0.065 0.994 0.328
22 O 0.096 0.250 0.974
23 O 0.129 0.003 0.653
24 O 0.129 0.497 0.653
25 O 0.163 0.750 0.342
26 O 0.190 0.007 0.991
27 O 0.190 0.493 0.991
28 O 0.225 0.250 0.686
29 O 0.275 0.750 0.186
30 O 0.310 0.507 0.491
31 O 0.310 0.993 0.491
32 O 0.337 0.250 0.842
33 O 0.371 0.503 0.153
34 O 0.371 0.997 0.153
35 O 0.404 0.750 0.474
36 O 0.435 0.006 0.828
37 O 0.435 0.494 0.828
38 O 0.466 0.250 0.157
39 O 0.500 0.000 0.500
40 O 0.500 0.500 0.500
41 O 0.534 0.750 0.843
42 O 0.565 0.506 0.172
43 O 0.565 0.994 0.172
44 O 0.596 0.250 0.526
45 O 0.629 0.003 0.847
46 O 0.629 0.497 0.847
47 O 0.663 0.750 0.158
48 O 0.690 0.007 0.509
49 O 0.690 0.493 0.509
50 O 0.725 0.250 0.814
51 O 0.775 0.750 0.314
52 O 0.810 0.507 0.009
53 O 0.810 0.993 0.009
54 O 0.837 0.250 0.658
55 O 0.871 0.503 0.347
56 O 0.871 0.997 0.347
57 O 0.904 0.750 0.026
58 O 0.935 0.006 0.672
59 O 0.935 0.494 0.672
60 O 0.966 0.250 0.343

Summary:
**Fermi-level density of states**: 5.4 states/eV/cell
**Space-group type**: No. 62

(4)
# Mo2O7

A relaxed structure of Mo2O7 (PBE+U, Alexandria via LeMat-Bulk).

a b c (Å): 7.751 3.764 9.489
angles (deg): 90.00 95.28 90.00
Positions (direct):
1 Mo 0.164 0.250 0.434
2 Mo 0.172 0.750 0.920
3 Mo 0.828 0.250 0.080
4 Mo 0.836 0.750 0.566
5 O 0.071 0.750 0.746
6 O 0.082 0.750 0.444
7 O 0.115 0.250 0.968
8 O 0.173 0.750 0.149
9 O 0.297 0.250 0.295
10 O 0.314 0.250 0.578
11 O 0.388 0.750 0.904
12 O 0.612 0.250 0.096
13 O 0.686 0.750 0.422
14 O 0.703 0.750 0.705
15 O 0.827 0.250 0.851
16 O 0.885 0.750 0.032
17 O 0.918 0.250 0.556
18 O 0.929 0.250 0.254

Summary:
**Space-group type**: No. 11

(5)
# MoO2

A relaxed structure of MoO2 (PBE+U, Alexandria via LeMat-Bulk).

a b c (Å): 2.858 2.858 11.150
angles (deg): 90.00 90.00 120.00
Positions (direct):
1 Mo 0.333 0.667 0.250
2 Mo 0.667 0.333 0.750
3 O 0.333 0.667 0.639
4 O 0.333 0.667 0.861
5 O 0.667 0.333 0.139
6 O 0.667 0.333 0.361

Summary:
**Space-group type**: No. 194

(6)
# MoO3

A relaxed structure of MoO3 (PBE+U, Alexandria via LeMat-Bulk).

a b c (Å): 16.006 3.752 3.914
angles (deg): 90.00 90.00 90.00
Positions (direct):
1 Mo 0.094 0.250 0.062
2 Mo 0.406 0.750 0.562
3 Mo 0.594 0.250 0.438
4 Mo 0.906 0.750 0.938
5 O 0.060 0.750 0.000
6 O 0.079 0.250 0.517
7 O 0.200 0.250 0.029
8 O 0.300 0.750 0.529
9 O 0.421 0.750 0.017
10 O 0.440 0.250 0.500
11 O 0.560 0.750 0.500
12 O 0.579 0.250 0.983
13 O 0.700 0.250 0.471
14 O 0.800 0.750 0.971
15 O 0.921 0.750 0.483
16 O 0.940 0.250 0.000

Summary:
**Fermi-level density of states**: 0.0 states/eV/cell
**Space-group type**: No. 62

(7)
# MoO3

A relaxed structure of MoO3 (PBE+U, Alexandria via LeMat-Bulk).

a b c (Å): 3.915 3.753 8.178
angles (deg): 90.00 102.24 90.00
Positions (direct):
1 Mo 0.145 0.250 0.188
2 Mo 0.855 0.750 0.812
3 O 0.053 0.750 0.120
4 O 0.206 0.250 0.400
5 O 0.413 0.750 0.841
6 O 0.587 0.250 0.159
7 O 0.794 0.750 0.600
8 O 0.947 0.250 0.880

Summary:
**Fermi-level density of states**: 0.0 states/eV/cell
**Space-group type**: No. 11

(8)
# MoO

A relaxed structure of MoO (PBE+U, Alexandria via LeMat-Bulk).

a b c (Å): 7.227 7.227 4.281
angles (deg): 90.00 90.00 120.00
Positions (direct):
1 Mo 0.111 0.702 0.250
2 Mo 0.298 0.408 0.250
3 Mo 0.408 0.111 0.750
4 Mo 0.592 0.889 0.250
5 Mo 0.702 0.592 0.750
6 Mo 0.889 0.298 0.750
7 O 0.037 0.658 0.750
8 O 0.342 0.379 0.750
9 O 0.379 0.037 0.250
10 O 0.621 0.963 0.750
11 O 0.658 0.621 0.250
12 O 0.963 0.342 0.250

Summary:
**E above lowest polymorph**: 10.91 kJ per mole of atoms
**Fermi-level density of states**: 5.2 states/eV/cell
**Space-group type**: No. 176

(9)
# MoO

A relaxed structure of MoO (PBE+U, Alexandria via LeMat-Bulk).

a b c (Å): 6.305 6.305 6.305
angles (deg): 93.12 93.12 153.00
Positions (direct):
1 Mo 0.096 0.666 0.762
2 Mo 0.334 0.096 0.430
3 Mo 0.666 0.904 0.570
4 Mo 0.904 0.334 0.238
5 O 0.119 0.229 0.348
6 O 0.229 0.881 0.109
7 O 0.771 0.119 0.891
8 O 0.881 0.771 0.652

Summary:
**E above lowest polymorph**: 12.88 kJ per mole of atoms
**Fermi-level density of states**: 2.8 states/eV/cell
**Space-group type**: No. 87

(10)
# MoO

A relaxed structure of MoO (PBE+U, Alexandria via LeMat-Bulk).

a b c (Å): 9.649 3.234 5.627
angles (deg): 90.00 90.00 90.00
Positions (direct):
1 Mo 0.000 0.145 0.000
2 Mo 0.152 0.286 0.498
3 Mo 0.348 0.714 0.998
4 Mo 0.500 0.855 0.500
5 Mo 0.652 0.714 0.998
6 Mo 0.848 0.286 0.498
7 O 0.000 0.796 0.623
8 O 0.218 0.213 0.889
9 O 0.282 0.787 0.389
10 O 0.500 0.204 0.123
11 O 0.718 0.787 0.389
12 O 0.782 0.213 0.889

Summary:
**E above lowest polymorph**: 0.32 kJ per mole of atoms
**Fermi-level density of states**: 1.1 states/eV/cell
**Space-group type**: No. 31

(11)
# Mo2O3

A relaxed structure of Mo2O3 (PBE+U, Alexandria via LeMat-Bulk).

a b c (Å): 5.663 5.663 16.248
angles (deg): 90.00 90.00 146.27
Positions (direct):
1 Mo 0.100 0.900 0.644
2 Mo 0.100 0.900 0.856
3 Mo 0.367 0.633 0.545
4 Mo 0.367 0.633 0.955
5 Mo 0.633 0.367 0.045
6 Mo 0.633 0.367 0.455
7 Mo 0.900 0.100 0.144
8 Mo 0.900 0.100 0.356
9 O 0.000 0.000 0.000
10 O 0.000 0.000 0.500
11 O 0.186 0.814 0.750
12 O 0.259 0.741 0.073
13 O 0.259 0.741 0.427
14 O 0.483 0.517 0.647
15 O 0.483 0.517 0.853
16 O 0.517 0.483 0.147
17 O 0.517 0.483 0.353
18 O 0.741 0.259 0.573
19 O 0.741 0.259 0.927
20 O 0.814 0.186 0.250

Summary:
**Fermi-level density of states**: 0.0 states/eV/cell
**Space-group type**: No. 63

(12)
# MoO2

A relaxed structure of MoO2 (PBE+U, Alexandria via LeMat-Bulk).

a b c (Å): 5.331 5.331 4.940
angles (deg): 94.44 94.44 30.31
Positions (direct):
1 Mo 0.000 0.000 0.000
2 Mo 0.250 0.250 0.462
3 O 0.125 0.125 0.701
4 O 0.382 0.382 0.178
5 O 0.638 0.638 0.202
6 O 0.860 0.860 0.672

Summary:
**Fermi-level density of states**: 1.0 states/eV/cell
**Space-group type**: No. 8

Number 1: total DFT energy (no corrections) -5.90 eV/atom. Number 2: total DFT energy (no corrections) -7.16 eV/atom. Number 3: total DFT energy (no corrections) -7.10 eV/atom. Number 4: total DFT energy (no corrections) -6.45 eV/atom. Number 5: total DFT energy (no corrections) -7.05 eV/atom. Number 6: total DFT energy (no corrections) -7.00 eV/atom. Number 7: total DFT energy (no corrections) -7.00 eV/atom. Number 8: total DFT energy (no corrections) -6.60 eV/atom. Number 9: total DFT energy (no corrections) -6.58 eV/atom. Number 10: total DFT energy (no corrections) -6.71 eV/atom. Number 11: total DFT energy (no corrections) -7.08 eV/atom. Number 12: total DFT energy (no corrections) -6.96 eV/atom.